Record 1
Entry from Alexandria: Sm8CoHg2 after structural relaxation (GGA-PBE).

Energy above the lowest structure with this stoichiometry = 0 meV/atom

Cell lengths 17.8620, 5.2636, 6.9143 Å; angles 90.00, 101.96, 90.00 degrees
Space group C2/m (No. 12)
Symmetry-distinct sites (fractional):
Sm  0.0215  0.0000  0.2793
Sm  0.0877  0.5000  0.9360
Sm  0.1476  0.5000  0.4617
Sm  0.2023  0.0000  0.8079
Co  0.0000  0.5000  0.5000
Hg  0.1921  0.0000  0.2400



Record 2
Entry from Alexandria: Sm6Co2Hg after structural relaxation (GGA-PBE).

Cell lengths 9.4632, 9.9381, 10.0934 Å; angles 90.00, 90.00, 90.00 degrees
Space group Immm (No. 71)
Symmetry-distinct sites (fractional):
Sm  0.0000  0.2029  0.2338
Sm  0.1874  0.5000  0.1751
Sm  0.2152  0.3186  0.5000
Co  0.0000  0.3428  0.0000
Co  0.0000  0.5000  0.3876
Hg  0.0000  0.0000  0.0000
Hg  0.0000  0.0000  0.5000



Record 3
Entry from Alexandria: Sm5CoHg2 after structural relaxation (GGA-PBE).

Energy above the lowest structure with this stoichiometry = 0 meV/atom

Cell lengths 7.9163, 11.6729, 4.8283 Å; angles 90.00, 90.00, 90.00 degrees
Space group Pbam (No. 55)
Symmetry-distinct sites (fractional):
Sm  0.0000  0.0000  0.0000
Sm  0.1380  0.3031  0.0000
Sm  0.1799  0.5754  0.5000
Co  0.0000  0.5000  0.0000
Hg  0.0728  0.8357  0.5000



Record 4
Entry from Alexandria: Sm5Co2Hg after structural relaxation (GGA-PBE).

Cell lengths 7.7820, 7.7820, 13.4670 Å; angles 90.00, 90.00, 90.00 degrees
Space group I4/mcm (No. 140)
Symmetry-distinct sites (fractional):
Sm  0.0000  0.0000  0.0000
Sm  0.1619  0.3381  0.1322
Co  0.1320  0.3680  0.5000
Hg  0.0000  0.0000  0.2500



Record 5
Entry from Alexandria: Sm2CoHg after structural relaxation (GGA-PBE).

Energy above the lowest structure with this stoichiometry = 0 meV/atom

Cell lengths 3.5139, 3.5139, 7.6873 Å; angles 90.00, 90.00, 90.00 degrees
Space group P4/mmm (No. 123)
Symmetry-distinct sites (fractional):
Sm  0.0000  0.0000  0.2171
Co  0.5000  0.5000  0.0000
Hg  0.5000  0.5000  0.5000



Record 6
Entry from Alexandria: Sm6CoHg3 after structural relaxation (GGA-PBE).

Energy above the lowest structure with this stoichiometry = 10 meV/atom

Cell lengths 5.5640, 8.8673, 12.4453 Å; angles 90.00, 114.36, 90.00 degrees
Space group P2_1/c (No. 14)
Symmetry-distinct sites (fractional):
Sm  0.0178  0.1942  0.0683
Sm  0.2921  0.5193  0.2325
Sm  0.3569  0.1500  0.4240
Co  0.0000  0.0000  0.5000
Hg  0.1752  0.6365  0.7325
Hg  0.5000  0.0000  0.0000



Record 7
Entry from Alexandria: Sm5CoHg after structural relaxation (GGA-PBE).

Cell lengths 9.9870, 7.2546, 11.6745 Å; angles 90.00, 107.93, 90.00 degrees
Space group C2/c (No. 15)
Symmetry-distinct sites (fractional):
Sm  0.0000  0.0115  0.2500
Sm  0.1161  0.3221  0.5549
Sm  0.2380  0.1751  0.1322
Co  0.0000  0.0000  0.0000
Hg  0.0000  0.4357  0.2500



Record 8
Entry from Alexandria: Sm2CoHg after structural relaxation (GGA-PBE).

Energy above the lowest structure with this stoichiometry = 55 meV/atom

Cell lengths 3.9621, 3.9621, 23.2151 Å; angles 90.00, 90.00, 120.00 degrees
Space group R3m (No. 160, hexagonal axes)
Symmetry-distinct sites (fractional):
Sm  0.0000  0.0000  0.0000
Sm  0.0000  0.0000  0.2047
Co  0.0000  0.0000  0.6037
Hg  0.0000  0.0000  0.7687



Number 1: DOS(E_F) 19.2 states/eV per cell, ΔH_f (0 K) -0.16 eV per atom. Number 2: DOS(E_F) 35.7 states/eV per cell, ΔH_f (0 K) -0.19 eV per atom. Number 3: DOS(E_F) 17.4 states/eV per cell, ΔH_f (0 K) -0.28 eV per atom. Number 4: DOS(E_F) 33.6 states/eV per cell, ΔH_f (0 K) -0.21 eV per atom. Number 5: DOS(E_F) 2.7 states/eV per cell, ΔH_f (0 K) -0.25 eV per atom. Number 6: DOS(E_F) 18.1 states/eV per cell, ΔH_f (0 K) -0.25 eV per atom. Number 7: DOS(E_F) 30.9 states/eV per cell, ΔH_f (0 K) -0.08 eV per atom. Number 8: DOS(E_F) 7.8 states/eV per cell, ΔH_f (0 K) -0.20 eV per atom.